1.
Ba6Ir after structural relaxation, computed with PBE-GGA.

Cell and atoms, written as CIF:
```
data_Ba6Ir
_chemical_formula_sum 'Ba24 Ir4'
_cell_length_a 14.920
_cell_length_b 13.630
_cell_length_c 7.874
_cell_angle_alpha 90.00
_cell_angle_beta 90.00
_cell_angle_gamma 90.00
_symmetry_space_group_name_H-M 'P n m a'
_symmetry_Int_Tables_number 62
_symmetry_space_group_name_Hall '-P 2ac 2n'
loop_
_atom_site_label
_atom_site_type_symbol
_atom_site_fract_x
_atom_site_fract_y
_atom_site_fract_z
Ba1 Ba 0.003 0.250 0.225
Ba2 Ba 0.010 0.090 0.749
Ba3 Ba 0.242 0.091 0.079
Ba4 Ba 0.248 0.250 0.600
Ir1 Ir 0.125 0.250 0.914
```

Formation energy (eV per atom): -0.14
DOS at the Fermi energy (states/eV/atom): 0.9488
Total magnetization (μB/f.u.): 0.00

=====

2.
Ba2Ir3 after structural relaxation, computed with PBE-GGA.

Cell and atoms, written as CIF:
```
data_Ba2Ir3
_chemical_formula_sum 'Ba6 Ir9'
_cell_length_a 4.2355
_cell_length_b 4.2355
_cell_length_c 27.9102
_cell_angle_alpha 90.00
_cell_angle_beta 90.00
_cell_angle_gamma 120.00
_symmetry_space_group_name_H-M 'R -3 m'
_symmetry_Int_Tables_number 166
_symmetry_space_group_name_Hall '-R 3 2"'
loop_
_atom_site_label
_atom_site_type_symbol
_atom_site_fract_x
_atom_site_fract_y
_atom_site_fract_z
Ba1 Ba 0.0000 0.0000 0.0941
Ir1 Ir 0.0000 0.0000 0.3331
Ir2 Ir 0.0000 0.0000 0.5000
```

Formation energy (eV per atom): 0.24
DOS at the Fermi energy (states/eV/atom): 0.9476
Total magnetization (μB/f.u.): 0.60

=====

3.
Ba3Ir4 after structural relaxation, computed with PBE-GGA.

Cell and atoms, written as CIF:
```
data_Ba3Ir4
_chemical_formula_sum 'Ba3 Ir4'
_cell_length_a 7.4731
_cell_length_b 7.4731
_cell_length_c 4.6137
_cell_angle_alpha 90.00
_cell_angle_beta 90.00
_cell_angle_gamma 120.00
_symmetry_space_group_name_H-M 'P 6/m m m'
_symmetry_Int_Tables_number 191
_symmetry_space_group_name_Hall '-P 6 2'
loop_
_atom_site_label
_atom_site_type_symbol
_atom_site_fract_x
_atom_site_fract_y
_atom_site_fract_z
Ba1 Ba 0.0000 0.5000 0.0000
Ir1 Ir 0.0000 0.0000 0.2498
Ir2 Ir 0.3333 0.6667 0.5000
```

Formation energy (eV per atom): 0.91
DOS at the Fermi energy (states/eV/atom): 1.9670
Total magnetization (μB/f.u.): 2.24

=====

4.
Ba3Ir after structural relaxation, computed with PBE-GGA.

Cell and atoms, written as CIF:
```
data_Ba3Ir
_chemical_formula_sum 'Ba9 Ir3'
_cell_length_a 11.4115
_cell_length_b 11.4115
_cell_length_c 3.9175
_cell_angle_alpha 90.00
_cell_angle_beta 90.00
_cell_angle_gamma 120.00
_symmetry_space_group_name_H-M 'R -3 m'
_symmetry_Int_Tables_number 166
_symmetry_space_group_name_Hall '-R 3 2"'
loop_
_atom_site_label
_atom_site_type_symbol
_atom_site_fract_x
_atom_site_fract_y
_atom_site_fract_z
Ba1 Ba 0.0000 0.5000 0.0000
Ir1 Ir 0.0000 0.0000 0.0000
```

Formation energy (eV per atom): 0.57
DOS at the Fermi energy (states/eV/atom): 0.8898
Total magnetization (μB/f.u.): 0.00

=====

5.
Ba2Ir after structural relaxation, computed with PBE-GGA.

Cell and atoms, written as CIF:
```
data_Ba2Ir
_chemical_formula_sum 'Ba6 Ir3'
_cell_length_a 8.3588
_cell_length_b 8.3588
_cell_length_c 5.0129
_cell_angle_alpha 90.00
_cell_angle_beta 90.00
_cell_angle_gamma 120.00
_symmetry_space_group_name_H-M 'P -6 2 m'
_symmetry_Int_Tables_number 189
_symmetry_space_group_name_Hall 'P -6 -2'
loop_
_atom_site_label
_atom_site_type_symbol
_atom_site_fract_x
_atom_site_fract_y
_atom_site_fract_z
Ba1 Ba 0.0000 0.2640 0.0000
Ba2 Ba 0.0000 0.5926 0.5000
Ir1 Ir 0.0000 0.0000 0.5000
Ir2 Ir 0.3333 0.6667 0.0000
```

Formation energy (eV per atom): -0.03
DOS at the Fermi energy (states/eV/atom): 0.7933
Total magnetization (μB/f.u.): 0.00

=====

6.
Ba3Ir after structural relaxation, computed with PBE-GGA.

Cell and atoms, written as CIF:
```
data_Ba3Ir
_chemical_formula_sum 'Ba3 Ir1'
_cell_length_a 4.4078
_cell_length_b 4.4078
_cell_length_c 11.5935
_cell_angle_alpha 90.00
_cell_angle_beta 90.00
_cell_angle_gamma 120.00
_symmetry_space_group_name_H-M 'P -6 m 2'
_symmetry_Int_Tables_number 187
_symmetry_space_group_name_Hall 'P -6 2'
loop_
_atom_site_label
_atom_site_type_symbol
_atom_site_fract_x
_atom_site_fract_y
_atom_site_fract_z
Ba1 Ba 0.0000 0.0000 0.0000
Ba2 Ba 0.3333 0.6667 0.3445
Ir1 Ir 0.0000 0.0000 0.5000
```

Formation energy (eV per atom): 0.08
DOS at the Fermi energy (states/eV/atom): 0.6715
Total magnetization (μB/f.u.): 0.82

=====

7.
BaIr after structural relaxation, computed with PBE-GGA.

Cell and atoms, written as CIF:
```
data_BaIr
_chemical_formula_sum 'Ba6 Ir6'
_cell_length_a 5.357
_cell_length_b 10.347
_cell_length_c 6.984
_cell_angle_alpha 90.00
_cell_angle_beta 90.00
_cell_angle_gamma 90.00
_symmetry_space_group_name_H-M 'A m m 2'
_symmetry_Int_Tables_number 38
_symmetry_space_group_name_Hall 'A 2 -2'
loop_
_atom_site_label
_atom_site_type_symbol
_atom_site_fract_x
_atom_site_fract_y
_atom_site_fract_z
Ba1 Ba 0.000 0.000 0.000
Ba2 Ba 0.500 0.185 0.573
Ir1 Ir 0.000 0.000 0.493
Ir2 Ir 0.000 0.210 0.326
```

Formation energy (eV per atom): 0.21
DOS at the Fermi energy (states/eV/atom): 1.1683
Total magnetization (μB/f.u.): 0.05

=====

8.
Ba3Ir after structural relaxation, computed with PBE-GGA.

Cell and atoms, written as CIF:
```
data_Ba3Ir
_chemical_formula_sum 'Ba12 Ir4'
_cell_length_a 8.2488
_cell_length_b 8.2488
_cell_length_c 10.0598
_cell_angle_alpha 90.00
_cell_angle_beta 90.00
_cell_angle_gamma 120.00
_symmetry_space_group_name_H-M 'P 63/m m c'
_symmetry_Int_Tables_number 194
_symmetry_space_group_name_Hall '-P 6c 2c'
loop_
_atom_site_label
_atom_site_type_symbol
_atom_site_fract_x
_atom_site_fract_y
_atom_site_fract_z
Ba1 Ba 0.0000 0.5000 0.0000
Ba2 Ba 0.1396 0.2792 0.2500
Ir1 Ir 0.0000 0.0000 0.0000
Ir2 Ir 0.3333 0.6667 0.7500
```

Formation energy (eV per atom): 0.28
DOS at the Fermi energy (states/eV/atom): 1.2590
Total magnetization (μB/f.u.): 0.00

=====

9.
Ba2Ir after structural relaxation, computed with PBE-GGA.

Cell and atoms, written as CIF:
```
data_Ba2Ir
_chemical_formula_sum 'Ba8 Ir4'
_cell_length_a 3.949
_cell_length_b 22.034
_cell_length_c 5.522
_cell_angle_alpha 90.00
_cell_angle_beta 90.00
_cell_angle_gamma 90.00
_symmetry_space_group_name_H-M 'C m c m'
_symmetry_Int_Tables_number 63
_symmetry_space_group_name_Hall '-C 2c 2'
loop_
_atom_site_label
_atom_site_type_symbol
_atom_site_fract_x
_atom_site_fract_y
_atom_site_fract_z
Ba1 Ba 0.000 0.053 0.250
Ba2 Ba 0.000 0.172 0.750
Ir1 Ir 0.000 0.431 0.250
```

Formation energy (eV per atom): 0.05
DOS at the Fermi energy (states/eV/atom): 0.4785
Total magnetization (μB/f.u.): 0.00

=====

10.
BaIr3 after structural relaxation, computed with PBE-GGA.

Cell and atoms, written as CIF:
```
data_BaIr3
_chemical_formula_sum 'Ba2 Ir6'
_cell_length_a 6.025
_cell_length_b 8.507
_cell_length_c 2.942
_cell_angle_alpha 90.00
_cell_angle_beta 90.00
_cell_angle_gamma 90.00
_symmetry_space_group_name_H-M 'C m m m'
_symmetry_Int_Tables_number 65
_symmetry_space_group_name_Hall '-C 2 2'
loop_
_atom_site_label
_atom_site_type_symbol
_atom_site_fract_x
_atom_site_fract_y
_atom_site_fract_z
Ba1 Ba 0.000 0.000 0.000
Ir1 Ir 0.000 0.500 0.000
Ir2 Ir 0.250 0.250 0.500
```

Formation energy (eV per atom): 0.80
DOS at the Fermi energy (states/eV/atom): 1.0362
Total magnetization (μB/f.u.): 0.00

=====

11.
BaIr3 after structural relaxation, computed with PBE-GGA.

Cell and atoms, written as CIF:
```
data_BaIr3
_chemical_formula_sum 'Ba1 Ir3'
_cell_length_a 2.9607
_cell_length_b 2.9607
_cell_length_c 9.9709
_cell_angle_alpha 90.00
_cell_angle_beta 90.00
_cell_angle_gamma 120.00
_symmetry_space_group_name_H-M 'P -6 m 2'
_symmetry_Int_Tables_number 187
_symmetry_space_group_name_Hall 'P -6 2'
loop_
_atom_site_label
_atom_site_type_symbol
_atom_site_fract_x
_atom_site_fract_y
_atom_site_fract_z
Ba1 Ba 0.0000 0.0000 0.0000
Ir1 Ir 0.0000 0.0000 0.5000
Ir2 Ir 0.6667 0.3333 0.2929
```

Formation energy (eV per atom): 0.81
DOS at the Fermi energy (states/eV/atom): 1.8005
Total magnetization (μB/f.u.): 0.00

=====

12.
BaIr after structural relaxation, computed with PBE-GGA.

Cell and atoms, written as CIF:
```
data_BaIr
_chemical_formula_sum 'Ba4 Ir4'
_cell_length_a 6.399
_cell_length_b 6.399
_cell_length_c 6.399
_cell_angle_alpha 90.00
_cell_angle_beta 90.00
_cell_angle_gamma 90.00
_symmetry_space_group_name_H-M 'F m -3 m'
_symmetry_Int_Tables_number 225
_symmetry_space_group_name_Hall '-F 4 2 3'
loop_
_atom_site_label
_atom_site_type_symbol
_atom_site_fract_x
_atom_site_fract_y
_atom_site_fract_z
Ba1 Ba 0.000 0.000 0.000
Ir1 Ir 0.000 0.000 0.500
```

Formation energy (eV per atom): 0.76
DOS at the Fermi energy (states/eV/atom): 2.2722
Total magnetization (μB/f.u.): 1.00